Entry 1:
Pm3Zn3Pd8 after structural relaxation, computed with PBE.

Summary:
- Space group: Immm, No. 71

a = 4.329 Å, b = 8.371 Å, c = 8.371 Å
α = 68.63°, β = 75.01°, γ = 75.01°
Positions (direct):
Pm 0.500 0.500 0.500
Pm 0.200 0.800 0.800
Pm 0.800 0.200 0.200
Zn 0.000 0.767 0.233
Zn 0.000 0.233 0.767
Zn 0.500 0.000 0.000
Pd 0.388 0.322 0.901
Pd 0.612 0.099 0.678
Pd 0.612 0.678 0.099
Pd 0.388 0.901 0.322
Pd 0.820 0.535 0.826
Pd 0.180 0.465 0.174
Pd 0.820 0.826 0.535
Pd 0.180 0.174 0.465

Entry 2:
PmZn2Pd4 after structural relaxation, computed with PBE.

Summary:
- Space group: I4/mmm, No. 139

a = 6.141 Å, b = 6.141 Å, c = 6.141 Å
α = 99.75°, β = 99.75°, γ = 131.41°
Positions (direct):
Pd 0.269 0.500 0.769
Pd 0.500 0.269 0.769
Pd 0.731 0.500 0.231
Pd 0.500 0.731 0.231
Zn 0.750 0.250 0.500
Zn 0.250 0.750 0.500
Pm 0.000 0.000 0.000

Entry 3:
Pm2ZnPd after structural relaxation, computed with PBE.

Summary:
- Space group: P2_1/m, No. 11
- ΔE to the lowest computed polymorph: 0.000 eV/atom

a = 4.640 Å, b = 5.987 Å, c = 7.768 Å
α = 113.44°, β = 90.00°, γ = 90.00°
Positions (direct):
Pm 0.250 0.768 0.083
Pm 0.750 0.232 0.917
Pm 0.750 0.212 0.426
Pm 0.250 0.788 0.574
Zn 0.250 0.334 0.205
Zn 0.750 0.666 0.795
Pd 0.250 0.365 0.709
Pd 0.750 0.635 0.291

Entry 4:
Pm2Zn3Pd after structural relaxation, computed with PBE.

Summary:
- Space group: Pmm2, No. 25
- ΔE to the lowest computed polymorph: 0.000 eV/atom

a = 3.692 Å, b = 4.497 Å, c = 7.794 Å
α = 90.00°, β = 90.00°, γ = 90.00°
Positions (direct):
Pm 0.000 0.500 0.015
Pm 0.000 0.000 0.486
Zn 0.500 0.000 0.830
Zn 0.500 0.000 0.159
Zn 0.500 0.500 0.675
Pd 0.500 0.500 0.336

Entry 5:
Pm4ZnPd5 after structural relaxation, computed with PBE.

Summary:
- Space group: P4/mmm, No. 123

a = 3.526 Å, b = 3.526 Å, c = 17.327 Å
α = 90.00°, β = 90.00°, γ = 90.00°
Positions (direct):
Zn 0.000 0.000 0.000
Pm 0.000 0.000 0.607
Pm 0.000 0.000 0.393
Pm 0.000 0.000 0.179
Pm 0.000 0.000 0.821
Pd 0.500 0.500 0.500
Pd 0.500 0.500 0.921
Pd 0.500 0.500 0.079
Pd 0.500 0.500 0.713
Pd 0.500 0.500 0.287

Entry 6:
Pm2Zn4Pd3 after structural relaxation, computed with PBE.

Summary:
- Space group: Fmmm, No. 69
- ΔE to the lowest computed polymorph: 0.042 eV/atom

a = 5.458 Å, b = 5.458 Å, c = 7.183 Å
α = 100.82°, β = 100.82°, γ = 120.37°
Positions (direct):
Zn 0.331 0.999 0.330
Zn 0.001 0.669 0.670
Zn 0.999 0.331 0.330
Zn 0.669 0.001 0.670
Pd 0.500 0.000 0.000
Pd 0.000 0.500 0.000
Pd 0.000 0.000 0.000
Pm 0.372 0.372 0.744
Pm 0.628 0.628 0.256

Entry 7:
Pm2Zn12Pd5 after structural relaxation, computed with PBE.

Summary:
- Space group: R-3m, No. 166

a = 6.872 Å, b = 6.872 Å, c = 6.872 Å
α = 83.73°, β = 83.73°, γ = 83.73°
Positions (direct):
Zn 0.348 0.348 0.848
Zn 0.000 0.711 0.289
Zn 0.848 0.348 0.348
Zn 0.348 0.848 0.348
Zn 0.711 0.289 0.000
Zn 0.652 0.152 0.652
Zn 0.152 0.652 0.652
Zn 0.711 0.000 0.289
Zn 0.000 0.289 0.711
Zn 0.289 0.000 0.711
Zn 0.652 0.652 0.152
Zn 0.289 0.711 0.000
Pm 0.668 0.668 0.668
Pm 0.332 0.332 0.332
Pd 0.000 0.500 0.000
Pd 0.104 0.104 0.104
Pd 0.896 0.896 0.896
Pd 0.500 0.000 0.000
Pd 0.000 0.000 0.500

Entry 8:
Pm2ZnPd8 after structural relaxation, computed with PBE.

Summary:
- Space group: C2/m, No. 12

a = 4.629 Å, b = 6.102 Å, c = 8.051 Å
α = 112.22°, β = 106.71°, γ = 90.00°
Positions (direct):
Pd 0.173 0.173 0.346
Pd 0.000 0.248 0.000
Pd 0.000 0.752 0.000
Pd 0.631 0.867 0.262
Pd 0.827 0.827 0.654
Pd 0.369 0.133 0.738
Pd 0.369 0.604 0.738
Pd 0.631 0.396 0.262
Pm 0.192 0.691 0.383
Pm 0.808 0.309 0.617
Zn 0.500 0.000 0.000

Entry 9:
Pm5ZnPd2 after structural relaxation, computed with PBE.

Summary:
- Space group: Pbam, No. 55

a = 4.962 Å, b = 6.654 Å, c = 12.800 Å
α = 90.00°, β = 90.00°, γ = 90.00°
Positions (direct):
Pm 0.000 0.324 0.785
Pm 0.000 0.824 0.715
Pm 0.500 0.836 0.390
Pm 0.500 0.664 0.890
Pm 0.000 0.500 0.500
Pm 0.500 0.164 0.610
Pm 0.000 0.000 0.000
Pm 0.000 0.676 0.215
Pm 0.000 0.176 0.285
Pm 0.500 0.336 0.110
Zn 0.000 0.500 0.000
Zn 0.000 0.000 0.500
Pd 0.500 0.610 0.635
Pd 0.500 0.890 0.135
Pd 0.500 0.110 0.865
Pd 0.500 0.390 0.365

Entry 10:
PmZn5Pd7 after structural relaxation, computed with PBE.

Summary:
- Space group: Imm2, No. 44

a = 5.277 Å, b = 6.809 Å, c = 6.809 Å
α = 81.59°, β = 67.20°, γ = 67.20°
Positions (direct):
Zn 0.729 0.771 0.771
Zn 0.004 0.000 0.497
Zn 0.498 0.000 0.497
Zn 0.498 0.497 0.000
Zn 0.004 0.497 0.000
Pd 0.653 0.347 0.347
Pd 0.996 0.661 0.347
Pd 0.507 0.785 0.202
Pd 0.996 0.347 0.661
Pd 0.275 0.225 0.225
Pd 0.341 0.659 0.659
Pd 0.507 0.202 0.785
Pm 0.992 0.008 0.008

Entry 11:
PmZnPd4 after structural relaxation, computed with PBE.

Summary:
- Space group: Pmma, No. 51
- ΔE to the lowest computed polymorph: 0.000 eV/atom

a = 4.101 Å, b = 7.000 Å, c = 7.476 Å
α = 90.00°, β = 90.00°, γ = 90.00°
Positions (direct):
Pd 0.000 0.000 0.500
Pd 0.000 0.000 0.000
Pd 0.500 0.309 0.551
Pd 0.500 0.039 0.250
Pd 0.500 0.691 0.449
Pd 0.500 0.309 0.949
Pd 0.500 0.691 0.051
Pd 0.500 0.961 0.750
Pm 0.000 0.656 0.750
Pm 0.000 0.344 0.250
Zn 0.000 0.769 0.250
Zn 0.000 0.231 0.750

Entry 12:
Pm2ZnPd after structural relaxation, computed with PBE.

Summary:
- Space group: Fm-3m, No. 225
- ΔE to the lowest computed polymorph: 0.034 eV/atom

a = 5.138 Å, b = 5.138 Å, c = 5.138 Å
α = 60.00°, β = 60.00°, γ = 60.00°
Positions (direct):
Pm 0.250 0.250 0.250
Pm 0.750 0.750 0.750
Pd 0.000 0.000 0.000
Zn 0.500 0.500 0.500

no.,VASP energy (eV/atom)
1,-4.903
2,-4.065
3,-4.548
4,-3.596
5,-5.326
6,-3.887
7,-3.101
8,-5.292
9,-4.817
10,-4.202
11,-5.065
12,-4.513